## Pm2AgO4 (PBE)

Data for Pm2AgO4 after structural relaxation.

Output
Calculated density = 6.4 g/cm3
VASP energy = -6.80 eV/atom
M_tot = 2.00 μB/cell
Space-group type = No. 227

Lattice parameters (Å, degrees): 6.9729 6.9729 6.9729 60.00 60.00 60.00
Closest atoms and distances in Å follow each position.
Fractional coordinates of all 14 atoms:
Pm (0.0000, 0.0000, 0.0000)  6 O 2.35
Pm (0.0000, 0.0000, 0.5000)  6 O 2.35
Pm (0.0000, 0.5000, 0.0000)  6 O 2.35
Pm (0.5000, 0.0000, 0.0000)  6 O 2.35
Ag (0.3750, 0.3750, 0.3750)  4 O 2.34
Ag (0.6250, 0.6250, 0.6250)  4 O 2.34
O (0.2132, 0.7623, 0.7623)  1 Ag 2.34, 3 Pm 2.35
O (0.2377, 0.2377, 0.2377)  1 Ag 2.34, 3 Pm 2.35
O (0.2377, 0.2377, 0.7868)  1 Ag 2.34, 3 Pm 2.35
O (0.2377, 0.7868, 0.2377)  1 Ag 2.34, 3 Pm 2.35
O (0.7623, 0.2132, 0.7623)  1 Ag 2.34, 3 Pm 2.35
O (0.7623, 0.7623, 0.2132)  1 Ag 2.34, 3 Pm 2.35
O (0.7623, 0.7623, 0.7623)  1 Ag 2.34, 3 Pm 2.35
O (0.7868, 0.2377, 0.2377)  1 Ag 2.34, 3 Pm 2.35